1.
Compound: SrCa2Br
Source: the Alexandria database
Functional: PBE-GGA
Structure: relaxed

Cell and atoms, written as extended XYZ:
```
8
Lattice="-2.763 3.375 -8.702 -8.841 1.964 3.569 -4.700 5.953 -1.643" Properties=species:S:1:pos:R:3 pbc="T T T"
Sr 0.000 0.000 0.000
Sr -6.633 5.999 -6.456
Ca -3.783 3.569 -4.697
Ca -7.271 3.412 0.025
Ca -8.595 6.626 -2.867
Ca -12.961 8.977 -6.014
Br -5.802 2.669 -2.567
Br -9.672 5.293 -0.320
```

Properties
Uncorrected formation energy, eV per formula unit: -1.94
Size of the total moment, Bohr magnetons per cell: 0.00
Polymorph energy (0 for the lowest one), meV per atom: 172
Electronic total energy, eV/atom: -2.324

***

2.
Compound: Sr3Ca5Br12
Source: the Alexandria database
Functional: PBE-GGA
Structure: relaxed

Cell and atoms, written as extended XYZ:
```
80
Lattice="-1.773 -15.445 -3.247 15.363 3.895 -1.021 -5.246 2.956 14.696" Properties=species:S:1:pos:R:3 pbc="T T T"
Sr 3.776 -9.754 -0.981
Sr 9.315 -10.224 -1.770
Sr 7.579 -1.023 7.202
Sr -0.490 -2.266 4.572
Sr -0.942 -12.289 0.705
Sr 7.626 -2.618 1.818
Sr 0.719 -5.975 8.610
Sr 9.287 3.695 9.723
Sr 8.835 -6.328 5.857
Sr 0.766 -7.571 3.226
Sr -0.971 1.630 12.198
Sr 4.569 1.160 11.409
Ca 4.228 0.269 2.885
Ca 7.682 1.948 -0.511
Ca 0.000 0.000 0.000
Ca 2.520 -4.449 0.364
Ca -3.509 -6.245 5.725
Ca 6.795 -5.775 -2.134
Ca 9.334 2.099 4.339
Ca -3.999 -8.510 10.296
Ca 6.305 -8.041 2.438
Ca -2.679 -3.088 9.677
Ca 11.023 -5.506 0.751
Ca 4.172 -4.297 5.214
Ca -0.886 -7.723 -1.624
Ca -2.623 1.478 7.348
Ca 2.039 -0.553 7.991
Ca 12.344 -0.084 0.132
Ca 5.059 3.426 6.838
Ca -0.989 -10.693 6.089
Ca 5.824 -4.145 10.064
Ca 4.117 -8.863 7.543
Br 0.779 -10.189 -1.861
Br 5.621 -1.913 4.147
Br 2.193 -12.586 0.870
Br 1.414 -7.101 0.176
Br 6.335 -3.920 7.239
Br 6.746 -11.995 -1.317
Br 9.322 -0.770 4.586
Br 13.513 2.455 0.828
Br 10.202 -3.656 6.821
Br 6.469 -8.207 -0.433
Br 3.811 -9.453 2.157
Br 12.045 -9.303 -3.052
Br 7.728 2.091 6.730
Br 5.112 -3.773 -0.693
Br 11.765 3.625 4.111
Br -1.731 -4.460 7.329
Br 1.360 0.340 2.637
Br 8.839 -4.217 -0.614
Br 11.429 -8.356 0.680
Br 5.967 -0.210 0.640
Br 9.959 0.618 9.568
Br 6.523 -5.546 3.860
Br 8.419 -8.957 4.166
Br -1.201 -8.209 10.908
Br 1.822 -3.048 6.568
Br -0.074 0.363 6.262
Br 9.546 -0.385 -0.480
Br -3.085 -0.238 9.748
Br -1.614 -9.212 0.860
Br 2.378 -8.384 9.788
Br -0.495 -4.377 11.042
Br 10.076 -4.134 3.100
Br 6.985 -8.934 7.791
Br -3.421 -12.219 6.317
Br 0.617 -10.685 3.698
Br -3.700 0.709 13.480
Br 3.232 -4.821 11.122
Br -1.858 -4.938 3.607
Br 1.876 -0.386 10.861
Br 4.534 0.859 8.271
Br -5.168 -11.049 9.600
Br -0.977 -7.824 5.842
Br 6.931 -1.493 10.252
Br 1.599 3.401 11.745
Br 2.010 -4.674 3.190
Br 6.152 3.992 9.558
Br 2.724 -6.681 6.281
Br 7.565 1.596 12.289
```

Properties
Uncorrected formation energy, eV per formula unit: -32.64
Size of the total moment, Bohr magnetons per cell: 0.00
Electronic total energy, eV/atom: -3.388

***

3.
Compound: SrCa2Br
Source: the Alexandria database
Functional: PBE-GGA
Structure: relaxed

Cell and atoms, written as extended XYZ:
```
4
Lattice="3.917 0.000 0.000 0.000 4.064 -0.182 0.000 0.572 10.549" Properties=species:S:1:pos:R:3 pbc="T T T"
Sr 0.000 3.320 5.348
Ca 0.000 3.635 10.204
Ca 1.959 1.155 2.482
Br 1.959 3.481 7.884
```

Properties
Uncorrected formation energy, eV per formula unit: -2.61
Size of the total moment, Bohr magnetons per cell: 0.00
Polymorph energy (0 for the lowest one), meV per atom: 3
Electronic total energy, eV/atom: -2.493

***

4.
Compound: Sr2CaBr2
Source: the Alexandria database
Functional: PBE-GGA
Structure: relaxed

Cell and atoms, written as extended XYZ:
```
10
Lattice="-3.118 -8.821 -1.711 2.116 1.039 -9.214 3.670 -1.430 0.682" Properties=species:S:1:pos:R:3 pbc="T T T"
Sr 2.723 -1.516 -6.121
Sr 1.504 -5.760 -8.455
Sr -0.054 -7.695 -4.122
Sr 1.165 -3.451 -1.788
Ca 0.000 0.000 0.000
Ca -0.501 -3.891 -5.462
Br 0.688 -2.357 -8.645
Br -1.377 -7.016 -7.296
Br -1.689 -5.425 -2.280
Br 0.376 -0.766 -3.629
```

Properties
Uncorrected formation energy, eV per formula unit: -4.69
Size of the total moment, Bohr magnetons per cell: 1.68
Polymorph energy (0 for the lowest one), meV per atom: 143
Electronic total energy, eV/atom: -2.681

***

5.
Compound: SrCa2Br
Source: the Alexandria database
Functional: PBE-GGA
Structure: relaxed

Cell and atoms, written as extended XYZ:
```
4
Lattice="-0.820 -1.509 3.437 -2.771 -2.130 -1.596 6.837 -7.612 -1.712" Properties=species:S:1:pos:R:3 pbc="T T T"
Sr 3.654 -4.069 -0.915
Ca 6.664 -7.420 -1.668
Ca -0.140 -3.663 0.506
Br 3.323 -7.519 -0.361
```

Properties
Uncorrected formation energy, eV per formula unit: -2.45
Size of the total moment, Bohr magnetons per cell: 0.00
Polymorph energy (0 for the lowest one), meV per atom: 44
Electronic total energy, eV/atom: -2.452

***

6.
Compound: SrCaBr3
Source: the Alexandria database
Functional: PBE-GGA
Structure: relaxed

Cell and atoms, written as extended XYZ:
```
5
Lattice="-4.321 3.386 2.280 -4.082 -3.535 -2.485 -0.060 -3.372 4.895" Properties=species:S:1:pos:R:3 pbc="T T T"
Sr 0.000 0.000 0.000
Ca -4.231 -1.760 2.344
Br -2.041 -1.767 -1.243
Br -0.030 -1.686 2.447
Br -2.160 1.693 1.140
```

Properties
Uncorrected formation energy, eV per formula unit: -7.20
Size of the total moment, Bohr magnetons per cell: 0.70
Electronic total energy, eV/atom: -3.181

***

7.
Compound: Sr2CaBr
Source: the Alexandria database
Functional: PBE-GGA
Structure: relaxed

Cell and atoms, written as extended XYZ:
```
4
Lattice="-1.705 0.079 -3.793 -4.037 -0.874 -0.484 -4.433 10.616 -0.069" Properties=species:S:1:pos:R:3 pbc="T T T"
Sr -3.900 8.316 -0.355
Sr -2.446 2.034 -1.139
Ca -5.088 4.912 -2.173
Br -8.260 10.085 -2.920
```

Properties
Uncorrected formation energy, eV per formula unit: -2.83
Size of the total moment, Bohr magnetons per cell: 0.00
Polymorph energy (0 for the lowest one), meV per atom: 0
Electronic total energy, eV/atom: -2.467

***

8.
Compound: SrCa2Br
Source: the Alexandria database
Functional: PBE-GGA
Structure: relaxed

Cell and atoms, written as extended XYZ:
```
4
Lattice="0.847 -0.706 6.189 -4.679 -2.188 3.584 0.374 -5.763 2.484" Properties=species:S:1:pos:R:3 pbc="T T T"
Sr -1.729 -4.328 6.128
Ca -0.864 -2.164 3.064
Ca -2.593 -6.492 9.193
Br 0.000 0.000 0.000
```

Properties
Uncorrected formation energy, eV per formula unit: -0.57
Size of the total moment, Bohr magnetons per cell: 0.00
Polymorph energy (0 for the lowest one), meV per atom: 514
Electronic total energy, eV/atom: -1.981